1.
Compound: DyHo3Mg7
Source: the Alexandria database
Functional: PBE
Structure: relaxed

Computed properties:
size of the total moment: 0.00 μB/f.u.
DFT total energy: -113.78 eV per cell

Lattice parameters (Å, degrees): 3.2890 22.4330 16.3536 90.00 90.00 90.00
Space group Cmcm (No. 63)
Asymmetric unit:
Dy 0.0000 0.0137 0.2500
Ho 0.0000 0.1176 0.5321
Ho 0.0000 0.2366 0.2500
Mg 0.0000 0.2614 0.5753
Mg 0.0000 0.3752 0.6572
Mg 0.0000 0.3834 0.2500
Mg 0.0000 0.4938 0.5840

2.
Compound: Dy12Ho5Mg2
Source: the Alexandria database
Functional: PBE
Structure: relaxed

Computed properties:
size of the total moment: 0.00 μB/f.u.
DFT total energy: -158.71 eV per cell

Lattice parameters (Å, degrees): 15.6492 9.0979 8.3156 90.00 90.82 90.00
Space group C2/m (No. 12)
Asymmetric unit:
Dy 0.0575 0.0000 0.3336
Dy 0.0869 0.5000 0.8893
Dy 0.1252 0.1941 0.6680
Dy 0.1522 0.3154 0.2425
Ho 0.0000 0.5000 0.5000
Ho 0.2000 0.0000 0.0112
Ho 0.2342 0.5000 0.5777
Mg 0.0000 0.1716 0.0000

3.
Compound: Dy3Ho4Mg
Source: the Alexandria database
Functional: PBE
Structure: relaxed

Computed properties:
size of the total moment: 0.00 μB/f.u.
DFT total energy: -67.40 eV per cell

Lattice parameters (Å, degrees): 11.1788 7.0643 6.1598 90.00 90.00 90.00
Space group Pmn2_1 (No. 31)
Asymmetric unit:
Dy 0.0000 0.1279 0.0000
Dy 0.2447 0.1221 0.3403
Ho 0.0000 0.3767 0.5229
Ho 0.0000 0.6248 0.0048
Ho 0.2450 0.6262 0.3495
Mg 0.0000 0.8755 0.5096

4.
Compound: DyHoMg
Source: the Alexandria database
Functional: PBE
Structure: relaxed

Computed properties:
size of the total moment: 0.00 μB/f.u.
DFT total energy: -21.46 eV per cell

Lattice parameters (Å, degrees): 3.4165 5.3786 9.4445 90.00 90.01 90.00
Space group P2_1 (No. 4)
Asymmetric unit:
Dy 0.0015 0.0000 0.0846
Ho 0.4994 0.5002 0.2540
Mg 0.0009 0.5016 0.5794